Density functional theory data (GGA-PBE) for crystalline HoEr3Te3 at its relaxed geometry.

Unit cell a=7.0621 b=7.0621 c=11.0815 alpha=71.42 beta=71.42 gamma=60.00
Site moments in Bohr magnetons follow the coordinates.
Element x y z (fractional)
Ho (0.3331, 0.3331, 0.0006)  0.00
Ho (0.6669, 0.6669, 0.9994)  0.00
Er (0.4664, 0.7800, 0.6332)  0.23
Er (0.7800, 0.1204, 0.6332)  0.23
Er (0.1204, 0.4664, 0.6332)  0.23
Er (0.8796, 0.5336, 0.3668)  0.23
Er (0.2200, 0.8796, 0.3668)  0.23
Er (0.5336, 0.2200, 0.3668)  0.23
Te (0.2604, 0.6226, 0.1771)  0.01
Te (0.9399, 0.2604, 0.1771)  0.01
Te (0.6226, 0.9399, 0.1771)  0.01
Te (0.3774, 0.0601, 0.8229)  0.01
Te (0.0601, 0.7396, 0.8229)  0.01
Te (0.7396, 0.3774, 0.8229)  0.01

Calculated values
**Crystal system**: trigonal
**Magnetic moment**: 1.06 μB per formula unit
**Space-group type**: R-3, No. 148
**ΔE_f (raw)**: -914 meV per atom
**Calculated volume**: 445 Å³ per cell
**VASP energy**: -4.87 eV/atom
**Fermi-level density of states**: 11.705 states/eV/cell

Density functional theory data (GGA-PBE) for crystalline Ce2SmNpAs4 at its relaxed geometry.

Unit cell a=4.1896 b=7.2677 c=7.2387 alpha=109.48 beta=90.00 gamma=90.00
Site moments in Bohr magnetons follow the coordinates.
Element x y z (fractional)
Ce (0.5000, 0.0000, 0.5000)  0.65
Ce (0.0000, 0.5000, 0.5000)  0.59
Sm (0.0000, 0.0000, 0.0000)  0.03
Np (0.5000, 0.5000, 0.0000)  3.75
As (0.5000, 0.2538, 0.2490)  -0.04
As (0.5000, 0.7462, 0.7510)  -0.04
As (0.0000, 0.2552, 0.7546)  -0.06
As (0.0000, 0.7448, 0.2454)  -0.06

Calculated values
**Crystal system**: monoclinic
**Magnetic moment**: 5.31 μB per formula unit
**Space-group type**: P2/m, No. 10
**Calculated volume**: 208 Å³ per cell
**DFT formation energy**: -1263 meV/atom
**VASP energy**: -7.28 eV/atom
**Fermi-level density of states**: 19.624 states/eV/cell

Density functional theory data (GGA-PBE) for crystalline KY2Cr at its relaxed geometry.

Unit cell a=3.6972 b=3.6972 c=11.6545 alpha=81.76 beta=81.76 gamma=59.65
Site moments in Bohr magnetons follow the coordinates.
Element x y z (fractional)
Cr (0.2500, 0.2500, 0.2500)  3.27
K (0.7500, 0.7500, 0.7500)  0.00
Y (0.9714, 0.9714, 0.0733)  -0.05
Y (0.5286, 0.5286, 0.4267)  -0.05

Calculated values
**Crystal system**: monoclinic
**Magnetic moment**: 3.21 μB per formula unit
**Space-group type**: C2/m, No. 12
**ΔE to the lowest computed polymorph**: 179.2 meV/atom
**Calculated volume**: 136 Å³ per cell
**DFT formation energy**: 542 meV/atom
**VASP energy**: -5.37 eV/atom
**Fermi-level density of states**: 4.324 states/eV/cell

Density functional theory data (GGA-PBE) for crystalline BaP2Au at its relaxed geometry.

Unit cell a=4.6419 b=4.6468 c=4.3275 alpha=90.00 beta=90.00 gamma=90.00
Element x y z (fractional)
Au (0.5000, 0.0000, 0.5000)
Ba (0.0000, 0.5000, 0.5000)
P (0.0000, 0.0000, 0.0000)
P (0.5000, 0.5000, 0.0000)

Calculated values
**Crystal system**: tetragonal
**Magnetic moment**: 0.00 μB per formula unit
**Space-group type**: P4/mmm, No. 123
**ΔE to the lowest computed polymorph**: 655.5 meV/atom
**Calculated volume**: 93 Å³ per cell
**DFT formation energy**: 81 meV/atom
**VASP energy**: -3.92 eV/atom
**Fermi-level density of states**: 2.273 states/eV/cell

Density functional theory data (GGA-PBE) for crystalline Mo4Rh5 at its relaxed geometry.

Unit cell a=6.2187 b=6.2187 c=6.2187 alpha=95.40 beta=95.40 gamma=144.27
Element x y z (fractional)
Mo (0.0000, 0.3283, 0.3283)
Mo (0.0000, 0.6717, 0.6717)
Mo (0.3283, 0.0000, 0.3283)
Mo (0.6717, 0.0000, 0.6717)
Rh (0.0000, 0.0000, 0.0000)
Rh (0.3331, 0.3331, 0.6662)
Rh (0.3331, 0.6669, 0.0000)
Rh (0.6669, 0.3331, 0.0000)
Rh (0.6669, 0.6669, 0.3338)

Calculated values
**Crystal system**: tetragonal
**Magnetic moment**: 0.00 μB per formula unit
**Space-group type**: I4/mmm, No. 139
**ΔE to the lowest computed polymorph**: 0.0 meV/atom
**Calculated volume**: 134 Å³ per cell
**DFT formation energy**: -104 meV/atom
**VASP energy**: -9.00 eV/atom
**Fermi-level density of states**: 9.857 states/eV/cell